Entry 1:
Entry from the Alexandria database: an optimized crystal structure of Cd5Ir (GGA-PBE).

Values from the calculation:
The calculation puts the polymorph energy (0 for the lowest one) at 279 meV/atom. The calculation puts the formation energy at 0.3519 eV per atom. The volume comes out at 485.1 Å³ per cell.

a b c (Å): 7.8573 7.8573 7.8573
angles (deg): 90.00 90.00 90.00
Last column: nearest neighbours and their distance in Å.
Space group F-43m (No. 216)
Symmetry-distinct sites (fractional):
Cd 0.0000 0.0000 0.0000 x4  12 Cd 3.26, 4 Ir 3.40
Cd 0.1245 0.1245 0.6245 x16  6 Cd 2.77-2.79
Ir 0.2500 0.2500 0.2500 x4  16 Cd 3.26-3.40

Entry 2:
Entry from the Alexandria database: an optimized crystal structure of Cd3Ir5 (GGA-PBE).

Values from the calculation:
The calculation puts the polymorph energy (0 for the lowest one) at 116 meV/atom. The calculation puts the formation energy at 0.5938 eV per atom. The volume comes out at 287.8 Å³ per cell.

a b c (Å): 8.2827 8.2827 4.8444
angles (deg): 90.00 90.00 120.00
Last column: nearest neighbours and their distance in Å.
Space group P6_3/mcm (No. 193)
Symmetry-distinct sites (fractional):
Cd 0.0000 0.3925 0.2500 x6  8 Ir 2.82-2.98, 2 Cd 3.01
Ir 0.0000 0.1821 0.7500 x6  6 Ir 2.61-2.85, 2 Cd 2.82
Ir 0.3333 0.6667 0.0000 x4  2 Ir 2.42

Entry 3:
Entry from the Alexandria database: an optimized crystal structure of Cd2Ir (GGA-PBE).

Values from the calculation:
The calculation puts the formation energy at 0.6408 eV per atom. The volume comes out at 445.6 Å³ per cell.

a b c (Å): 7.6378 7.6378 7.6378
angles (deg): 90.00 90.00 90.00
Last column: nearest neighbours and their distance in Å.
Space group Fd-3m (No. 227, origin choice 2)
Symmetry-distinct sites (fractional):
Cd 0.0000 0.0000 0.0000 x16  6 Cd 2.70
Ir 0.1250 0.1250 0.6250 x8  12 Cd 3.17, 4 Ir 3.31

Entry 4:
Entry from the Alexandria database: an optimized crystal structure of Cd2Ir (GGA-PBE).

Values from the calculation:
The calculation puts the formation energy at 0.1649 eV per atom. The volume comes out at 108.9 Å³ per cell.

a b c (Å): 3.0296 4.0727 8.8240
angles (deg): 90.00 90.00 90.00
Last column: nearest neighbours and their distance in Å.
Space group Immm (No. 71)
Symmetry-distinct sites (fractional):
Cd 0.0000 0.0000 0.1602 x4  7 Cd 2.83-3.03, 5 Ir 2.90-3.00
Ir 0.0000 0.0000 0.5000 x2  10 Cd 2.90-3.00, 2 Ir 3.03

Entry 5:
Entry from the Alexandria database: an optimized crystal structure of Cd2Ir (GGA-PBE).

Values from the calculation:
The calculation puts the formation energy at 0.2054 eV per atom. The volume comes out at 55.1 Å³ per cell.

a b c (Å): 2.9655 2.9655 7.2405
angles (deg): 90.00 90.00 120.00
Last column: nearest neighbours and their distance in Å.
Space group P-3m1 (No. 164)
Symmetry-distinct sites (fractional):
Cd 0.3333 0.6667 0.1865 x2  3 Ir 2.84, 6 Cd 2.97
Ir 0.0000 0.0000 0.5000 x1  6 Cd 2.84, 6 Ir 2.97

Entry 6:
Entry from the Alexandria database: an optimized crystal structure of Cd3Ir (GGA-PBE).

Values from the calculation:
The calculation puts the formation energy at 0.1690 eV per atom. The volume comes out at 231.6 Å³ per cell.

a b c (Å): 2.9911 2.9911 29.8935
angles (deg): 90.00 90.00 120.00
Last column: nearest neighbours and their distance in Å.
Space group R-3m (No. 166, hexagonal axes)
Symmetry-distinct sites (fractional):
Cd 0.0000 0.0000 0.0000 x3  12 Cd 2.99-3.23
Cd 0.0000 0.0000 0.2420 x6  3 Ir 2.84, 6 Cd 2.99
Ir 0.0000 0.0000 0.5000 x3  6 Cd 2.84, 6 Ir 2.99

Entry 7:
Entry from the Alexandria database: an optimized crystal structure of Cd3Ir (GGA-PBE).

Values from the calculation:
The calculation puts the formation energy at 0.0955 eV per atom. The volume comes out at 149.2 Å³ per cell.

a b c (Å): 4.1340 4.1340 8.7289
angles (deg): 90.00 90.00 90.00
Last column: nearest neighbours and their distance in Å.
Space group I4/mmm (No. 139)
Symmetry-distinct sites (fractional):
Cd 0.0000 0.0000 0.0000 x2  4 Ir 2.92, 8 Cd 3.01
Cd 0.0000 0.5000 0.2500 x4  8 Cd 2.92-3.01, 4 Ir 3.01
Ir 0.0000 0.0000 0.5000 x2  12 Cd 2.92-3.01

Entry 8:
Entry from the Alexandria database: an optimized crystal structure of Cd4Ir (GGA-PBE).

Values from the calculation:
The calculation puts the formation energy at 0.3291 eV per atom. The volume comes out at 142.6 Å³ per cell.

a b c (Å): 5.2248 5.2248 5.2248
angles (deg): 90.00 90.00 90.00
Last column: nearest neighbours and their distance in Å.
Space group Pm-3m (No. 221)
Symmetry-distinct sites (fractional):
Cd 0.0000 0.0000 0.0000 x1  12 Cd 3.69
Cd 0.0000 0.5000 0.5000 x3  2 Ir 2.61
Ir 0.5000 0.5000 0.5000 x1  6 Cd 2.61

Entry 9:
Entry from the Alexandria database: an optimized crystal structure of Cd2Ir (GGA-PBE).

Values from the calculation:
The calculation puts the formation energy at 0.1655 eV per atom. The volume comes out at 220.2 Å³ per cell.

a b c (Å): 10.9626 3.1227 6.6814
angles (deg): 90.00 105.72 90.00
Last column: nearest neighbours and their distance in Å.
Space group C2/m (No. 12)
Symmetry-distinct sites (fractional):
Cd 0.1359 0.0000 0.0409 x4  4 Ir 2.84-2.90, 8 Cd 2.88-3.12
Cd 0.1765 0.0000 0.6175 x4  4 Ir 2.81-2.86, 7 Cd 2.98-3.12
Ir 0.0226 0.5000 0.2973 x4  8 Cd 2.81-2.90, 3 Ir 2.88-3.12

Entry 10:
Entry from the Alexandria database: an optimized crystal structure of Cd2Ir (GGA-PBE).

Values from the calculation:
The calculation puts the formation energy at 0.1557 eV per atom. The volume comes out at 217.0 Å³ per cell.

a b c (Å): 5.8419 4.2279 8.7843
angles (deg): 90.00 90.00 90.00
Last column: nearest neighbours and their distance in Å.
Space group Pnma (No. 62)
Symmetry-distinct sites (fractional):
Cd 0.1134 0.2500 0.2383 x4  5 Ir 2.87-2.98, 7 Cd 2.92-3.05
Cd 0.1409 0.2500 0.5764 x4  5 Ir 2.89-2.96, 7 Cd 2.92-3.05
Ir 0.1342 0.2500 0.9089 x4  10 Cd 2.87-2.98, 2 Ir 3.08

Entry 11:
Entry from the Alexandria database: an optimized crystal structure of Cd2Ir (GGA-PBE).

Values from the calculation:
The calculation puts the formation energy at 0.2437 eV per atom. The volume comes out at 54.3 Å³ per cell.

a b c (Å): 4.6402 4.6402 2.9132
angles (deg): 90.00 90.00 120.00
Last column: nearest neighbours and their distance in Å.
Space group P6/mmm (No. 191)
Symmetry-distinct sites (fractional):
Cd 0.3333 0.6667 0.0000 x2  5 Cd 2.68-2.91
Ir 0.0000 0.0000 0.5000 x1  2 Ir 2.91, 12 Cd 3.05

Entry 12:
Entry from the Alexandria database: an optimized crystal structure of Cd5Ir (GGA-PBE).

Values from the calculation:
The calculation puts the polymorph energy (0 for the lowest one) at 0 meV/atom. The calculation puts the formation energy at 0.0733 eV per atom. The volume comes out at 236.7 Å³ per cell.

a b c (Å): 4.2830 12.8332 4.3060
angles (deg): 90.00 90.00 90.00
Last column: nearest neighbours and their distance in Å.
Space group Cmmm (No. 65)
Symmetry-distinct sites (fractional):
Cd 0.0000 0.0000 0.0000 x2  8 Cd 2.96, 4 Ir 3.04
Cd 0.0000 0.1579 0.5000 x4  2 Ir 2.95, 10 Cd 2.96-3.19
Cd 0.0000 0.3404 0.0000 x4  10 Cd 2.96-3.18, 2 Ir 2.97
Ir 0.0000 0.5000 0.5000 x2  12 Cd 2.95-3.04

Question: Among the records above, which one has the highest volume?
Answer: number 1